Record 1
A relaxed Ti5Ru6 crystal. Source: Alexandria via LeMat-Bulk, functional PBE-GGA.

Cell: 7.412 7.412 7.412 Å, 146.25 131.36 60.51°
Sites, in units of the cell vectors:
Ti 0.000 0.000 0.000
Ti 0.166 0.666 0.500
Ti 0.338 0.338 0.000
Ti 0.662 0.662 0.000
Ti 0.834 0.334 0.500
Ru 0.086 0.834 0.252
Ru 0.252 0.500 0.752
Ru 0.418 0.166 0.252
Ru 0.582 0.834 0.748
Ru 0.748 0.500 0.248
Ru 0.914 0.166 0.748

Calculated values
Energy of formation   -0.452 eV/atom

Record 2
A relaxed LiCePu crystal. Source: Alexandria via LeMat-Bulk, functional PBE-GGA.

Cell: 7.746 3.255 11.943 Å, 90.00 108.60 90.00°
Sites, in units of the cell vectors:
Li 0.168 0.000 0.055
Li 0.332 0.500 0.945
Li 0.668 0.500 0.055
Li 0.832 0.000 0.945
Ce 0.184 0.500 0.622
Ce 0.316 0.000 0.378
Ce 0.684 0.000 0.622
Ce 0.816 0.500 0.378
Pu 0.041 0.500 0.245
Pu 0.459 0.000 0.755
Pu 0.541 0.000 0.245
Pu 0.959 0.500 0.755

Calculated values
Relative energy among the computed polymorphs   33 meV per atom
Energy of formation   0.273 eV/atom